Here is Sr2PbCl after structural relaxation from Alexandria via LeMat-Bulk. Energies are from PBE-GGA.

a b c (Å): 4.4490 4.4490 25.5506
angles (deg): 90.00 90.00 120.00
Space group R3m (No. 160, hexagonal axes)
Asymmetric unit:
Sr (0.0000, 0.0000, 0.0000)
Sr (0.0000, 0.0000, 0.1687)
Pb (0.0000, 0.0000, 0.5849)
Cl (0.0000, 0.0000, 0.7566)

Results
Its density of states at the Fermi level is 4.69 states/eV/cell. The uncorrected formation energy is -1.07 eV per atom. The energy above the most stable polymorph in this dataset comes out at 0.152 eV/atom. The total magnetic moment comes out at 0.00 μB per formula unit. The calculation puts the density at 4.8 Mg/m³. The final energy comes out at -3.295 eV per atom.

Here is Sr2PbCl after structural relaxation from Alexandria via LeMat-Bulk. Energies are from PBE-GGA.

a b c (Å): 4.0233 4.3794 16.3537
angles (deg): 90.00 90.00 90.00
Space group Imm2 (No. 44)
Asymmetric unit:
Sr (0.0000, 0.0000, 0.0000)
Sr (0.0000, 0.5000, 0.2481)
Pb (0.0000, 0.0000, 0.3991)
Cl (0.0000, 0.5000, 0.6574)

Results
Its density of states at the Fermi level is 2.01 states/eV/cell. The uncorrected formation energy is -1.05 eV per atom. The energy above the most stable polymorph in this dataset comes out at 0.169 eV/atom. The total magnetic moment comes out at 0.00 μB per formula unit. The calculation puts the density at 4.8 Mg/m³. The final energy comes out at -3.279 eV per atom.

Here is SrPb2Cl6 after structural relaxation from Alexandria via LeMat-Bulk. Energies are from PBE-GGA.

a b c (Å): 7.5901 6.6716 14.5793
angles (deg): 90.00 121.29 90.00
Space group P2_1/c (No. 14)
Asymmetric unit:
Sr (0.0000, 0.0000, 0.0000)
Pb (0.3212, 0.0011, 0.8208)
Cl (0.0096, 0.7339, 0.3339)
Cl (0.3358, 0.2123, 0.0006)
Cl (0.3400, 0.7373, 0.6648)

Results
Its density of states at the Fermi level is 0.00 states/eV/cell. The uncorrected formation energy is -1.59 eV per atom. The total magnetic moment comes out at 0.00 μB per formula unit. The calculation puts the density at 3.8 Mg/m³. The final energy comes out at -3.829 eV per atom.

Here is SrPbCl after structural relaxation from Alexandria via LeMat-Bulk. Energies are from PBE-GGA.

a b c (Å): 7.8603 7.8603 7.8603
angles (deg): 90.00 90.00 90.00
Space group F-43m (No. 216)
Asymmetric unit:
Sr (0.0000, 0.0000, 0.0000)
Pb (0.2500, 0.2500, 0.7500)
Cl (0.2500, 0.2500, 0.2500)

Results
Its density of states at the Fermi level is 8.59 states/eV/cell. The uncorrected formation energy is -0.51 eV per atom. The energy above the most stable polymorph in this dataset comes out at 0.771 eV/atom. The total magnetic moment comes out at 2.93 μB per formula unit. The calculation puts the density at 4.5 Mg/m³. The final energy comes out at -2.924 eV per atom.

Here is Sr2PbCl after structural relaxation from Alexandria via LeMat-Bulk. Energies are from PBE-GGA.

a b c (Å): 8.1324 8.1324 8.1324
angles (deg): 90.00 90.00 90.00
Space group Fm-3m (No. 225)
Asymmetric unit:
Sr (0.2500, 0.2500, 0.2500)
Pb (0.0000, 0.0000, 0.0000)
Cl (0.0000, 0.0000, 0.5000)

Results
Its density of states at the Fermi level is 16.43 states/eV/cell. The uncorrected formation energy is -0.94 eV per atom. The energy above the most stable polymorph in this dataset comes out at 0.273 eV/atom. The total magnetic moment comes out at 1.00 μB per formula unit. The calculation puts the density at 5.2 Mg/m³. The final energy comes out at -3.174 eV per atom.

Here is Sr2PbCl6 after structural relaxation from Alexandria via LeMat-Bulk. Energies are from PBE-GGA.

a b c (Å): 12.6022 12.6022 6.5759
angles (deg): 90.00 90.00 120.00
Space group P321 (No. 150)
Asymmetric unit:
Sr (0.0000, 0.3564, 0.0000)
Sr (0.0000, 0.6912, 0.5000)
Pb (0.0000, 0.0000, 0.0000)
Pb (0.3333, 0.6667, 0.5007)
Cl (0.0954, 0.2243, 0.2383)
Cl (0.1099, 0.5741, 0.2595)
Cl (0.2194, 0.4427, 0.7420)

Results
Its density of states at the Fermi level is 0.00 states/eV/cell. The uncorrected formation energy is -2.03 eV per atom. The energy above the most stable polymorph in this dataset comes out at 0.003 eV/atom. The total magnetic moment comes out at 0.00 μB per formula unit. The calculation puts the density at 3.3 Mg/m³. The final energy comes out at -4.043 eV per atom.

Here is SrPbCl after structural relaxation from Alexandria via LeMat-Bulk. Energies are from PBE-GGA.

a b c (Å): 4.0484 4.0484 8.3479
angles (deg): 90.00 90.00 120.00
Space group P3m1 (No. 156)
Asymmetric unit:
Sr (0.0000, 0.0000, 0.0000)
Pb (0.6667, 0.3333, 0.6592)
Cl (0.3333, 0.6667, 0.1971)

Results
Its density of states at the Fermi level is 1.57 states/eV/cell. The uncorrected formation energy is -1.01 eV per atom. The energy above the most stable polymorph in this dataset comes out at 0.275 eV/atom. The total magnetic moment comes out at 0.73 μB per formula unit. The calculation puts the density at 4.6 Mg/m³. The final energy comes out at -3.419 eV per atom.

Here is Sr2PbCl after structural relaxation from Alexandria via LeMat-Bulk. Energies are from PBE-GGA.

a b c (Å): 7.9584 4.5181 8.3939
angles (deg): 90.00 108.33 90.00
Space group C2/m (No. 12)
Asymmetric unit:
Sr (0.2457, 0.0000, 0.2454)
Pb (0.0000, 0.0000, 0.5000)
Cl (0.0000, 0.5000, 0.0000)

Results
Its density of states at the Fermi level is 3.43 states/eV/cell. The uncorrected formation energy is -1.12 eV per atom. The energy above the most stable polymorph in this dataset comes out at 0.100 eV/atom. The total magnetic moment comes out at 0.00 μB per formula unit. The calculation puts the density at 4.8 Mg/m³. The final energy comes out at -3.348 eV per atom.

Here is SrPbCl4 after structural relaxation from Alexandria via LeMat-Bulk. Energies are from PBE-GGA.

a b c (Å): 7.1771 7.1927 7.2056
angles (deg): 90.00 90.77 90.00
Space group P2_1/c (No. 14)
Asymmetric unit:
Sr (0.0000, 0.0000, 0.0000)
Pb (0.5000, 0.0000, 0.5000)
Cl (0.1587, 0.1608, 0.3416)
Cl (0.3377, 0.6623, 0.3353)

Results
Its density of states at the Fermi level is 0.00 states/eV/cell. The uncorrected formation energy is -1.80 eV per atom. The total magnetic moment comes out at 0.00 μB per formula unit. The calculation puts the density at 3.9 Mg/m³. The final energy comes out at -3.929 eV per atom.

Here is Sr2Pb2Cl after structural relaxation from Alexandria via LeMat-Bulk. Energies are from PBE-GGA.

a b c (Å): 8.5293 8.5293 5.0312
angles (deg): 90.00 90.00 90.00
Space group P4/mbm (No. 127)
Asymmetric unit:
Sr (0.1816, 0.3184, 0.0000)
Pb (0.1186, 0.6186, 0.5000)
Cl (0.0000, 0.0000, 0.0000)

Results
Its density of states at the Fermi level is 4.96 states/eV/cell. The uncorrected formation energy is -0.88 eV per atom. The total magnetic moment comes out at 0.00 μB per formula unit. The calculation puts the density at 5.7 Mg/m³. The final energy comes out at -3.403 eV per atom.

Here is SrPb2Cl after structural relaxation from Alexandria via LeMat-Bulk. Energies are from PBE-GGA.

a b c (Å): 8.4479 4.8636 7.2653
angles (deg): 90.00 112.66 90.00
Space group Cm (No. 8)
Asymmetric unit:
Sr (0.0000, 0.0000, 0.0000)
Pb (0.2163, 0.0000, 0.6489)
Pb (0.4900, 0.0000, 0.4705)
Cl (0.2027, 0.5000, 0.1074)

Results
Its density of states at the Fermi level is 4.44 states/eV/cell. The uncorrected formation energy is -0.85 eV per atom. The energy above the most stable polymorph in this dataset comes out at 0.035 eV/atom. The total magnetic moment comes out at 0.00 μB per formula unit. The calculation puts the density at 6.5 Mg/m³. The final energy comes out at -3.585 eV per atom.

Here is Sr2PbCl after structural relaxation from Alexandria via LeMat-Bulk. Energies are from PBE-GGA.

a b c (Å): 12.9202 3.9935 5.4616
angles (deg): 90.00 90.24 90.00
Space group Cm (No. 8)
Asymmetric unit:
Sr (0.0000, 0.0000, 0.0000)
Sr (0.2403, 0.5000, 0.4725)
Pb (0.2693, 0.0000, 0.9690)
Cl (0.0163, 0.5000, 0.4401)

Results
Its density of states at the Fermi level is 6.14 states/eV/cell. The uncorrected formation energy is -1.13 eV per atom. The energy above the most stable polymorph in this dataset comes out at 0.088 eV/atom. The total magnetic moment comes out at 0.00 μB per formula unit. The calculation puts the density at 4.9 Mg/m³. The final energy comes out at -3.360 eV per atom.